Entry from Alexandria: a geometry-optimized Sm2PtS structure (GGA-PBE).

Values from the calculation:
SG = Cmcm

Unit cell a=11.6102 b=11.6102 c=4.1936 alpha=90.00 beta=90.00 gamma=160.55
Fractional coordinates of all 8 atoms:
Sm 0.0666 0.9334 0.7500
Sm 0.3145 0.6855 0.7500
Sm 0.6855 0.3145 0.2500
Sm 0.9334 0.0666 0.2500
Pt 0.4533 0.5467 0.7500
Pt 0.5467 0.4533 0.2500
S 0.1910 0.8090 0.7500
S 0.8090 0.1910 0.2500

Entry from Alexandria: a geometry-optimized Sm2PtS structure (GGA-PBE).

Values from the calculation:
SG = R-3m

Unit cell a=7.4600 b=7.4600 c=7.4600 alpha=31.23 beta=31.23 gamma=31.23
Fractional coordinates of all 4 atoms:
Sm 0.2483 0.2483 0.2483
Sm 0.7517 0.7517 0.7517
Pt 0.5000 0.5000 0.5000
S 0.0000 0.0000 0.0000

Table of polymorph energy (0 for the lowest one) (eV/atom), in record order: 0.000; 0.069
Table of uncorrected formation energy (eV/atom), in record order: -1.5779; -1.5087